DFT (PBE) results for a relaxed Ba6Mg5Tl crystal.

Values from the calculation:
Space group: No. 71
Magnetic moment: 0.0 Bohr magnetons per cell
Calculated formation energy: -0.119 eV per atom
Final energy: -1.94 eV per atom

Cell and atoms, written as POSCAR:
```
Ba6Mg5Tl
1.0
5.917 -0.006 -1.660
-4.433 8.602 -4.453
-0.228 -1.242 10.578
Ba Mg Tl
6 5 1
direct
0.744 0.244 0.244
0.753 0.589 0.918
0.753 0.918 0.589
0.256 0.756 0.756
0.247 0.082 0.411
0.247 0.411 0.082
0.500 0.171 0.829
0.500 0.500 0.500
0.500 0.829 0.171
0.000 0.666 0.334
0.000 0.334 0.666
0.000 0.000 0.000
```

***

DFT (PBE) results for a relaxed BaMg6Tl6 crystal.

Values from the calculation:
Space group: No. 71
Magnetic moment: 0.0 Bohr magnetons per cell
Calculated formation energy: -0.133 eV per atom
Final energy: -2.11 eV per atom

Cell and atoms, written as POSCAR:
```
BaMg6Tl6
1.0
5.877 0.000 2.349
2.814 7.420 1.486
0.183 0.158 8.070
Tl Mg Ba
6 6 1
direct
0.320 0.180 0.180
0.345 0.655 0.655
0.680 0.820 0.820
0.655 0.345 0.345
0.000 0.347 0.653
0.000 0.653 0.347
0.500 0.240 0.760
0.500 0.760 0.240
0.500 0.500 0.000
0.000 0.500 0.000
0.500 0.000 0.500
0.000 0.000 0.500
0.000 0.000 0.000
```

***

DFT (PBE) results for a relaxed Ba3MgTl crystal.

Values from the calculation:
Space group: No. 8
Magnetic moment: 0.0 Bohr magnetons per cell
Calculated formation energy: -0.155 eV per atom
Final energy: -2.10 eV per atom

Cell and atoms, written as POSCAR:
```
Ba3MgTl
1.0
4.236 -0.533 -0.454
-3.209 9.326 -0.287
-1.043 -1.042 11.802
Ba Tl Mg
6 2 2
direct
0.501 0.265 0.792
0.625 0.597 0.377
0.418 0.557 0.045
0.853 0.002 0.024
0.190 0.152 0.397
0.542 0.889 0.629
0.735 0.306 0.180
0.308 0.847 0.241
0.926 0.687 0.800
0.119 0.469 0.623
```

***

DFT (PBE) results for a relaxed Ba2Mg16Tl crystal.

Values from the calculation:
Space group: No. 160
Magnetic moment: 0.0 Bohr magnetons per cell
Calculated formation energy: -0.085 eV per atom
Final energy: -1.75 eV per atom

Cell and atoms, written as POSCAR:
```
Ba2Mg16Tl
1.0
7.978 0.042 0.946
0.845 7.933 0.946
0.046 0.042 8.034
Mg Ba Tl
16 2 1
direct
0.346 0.346 0.847
0.001 0.001 0.498
0.652 0.161 0.652
0.001 0.498 0.001
0.705 0.297 0.001
0.161 0.652 0.652
0.498 0.001 0.001
0.346 0.847 0.346
0.652 0.652 0.161
0.297 0.705 0.001
0.001 0.705 0.297
0.093 0.093 0.093
0.705 0.001 0.297
0.847 0.346 0.346
0.001 0.297 0.705
0.297 0.001 0.705
0.664 0.664 0.664
0.336 0.336 0.336
0.898 0.898 0.898
```